Entry 1:
First-principles (PBE) data for a relaxed TaTl3Rh crystal, as listed in the Alexandria database.

Cell lengths 5.133, 5.133, 5.133 Å; angles 90.00, 90.00, 90.00 degrees
Atoms (fractional coordinates):
Tl (0.000, 0.500, 0.000)
Tl (0.000, 0.000, 0.500)
Tl (0.500, 0.000, 0.000)
Rh (0.000, 0.000, 0.000)
Ta (0.500, 0.500, 0.500)

## Properties
Energy of formation in eV per atom: 1.13
Energy above the lowest structure with this stoichiometry in eV/atom: 0.0000
DOS(E_F) in states/eV/f.u.: 6.3
Magnetization in μB/atom: 0.000

---

Entry 2:
First-principles (PBE) data for a relaxed Na2NdBr5 crystal, as listed in the Alexandria database.

Cell lengths 8.437, 8.928, 12.890 Å; angles 90.00, 90.00, 90.00 degrees
Atoms (fractional coordinates):
Na (0.488, 0.489, 0.820)
Na (0.512, 0.511, 0.180)
Na (0.988, 0.511, 0.680)
Na (0.512, 0.989, 0.180)
Na (0.012, 0.489, 0.320)
Na (0.488, 0.011, 0.820)
Na (0.012, 0.011, 0.320)
Na (0.988, 0.989, 0.680)
Nd (0.414, 0.250, 0.507)
Nd (0.586, 0.750, 0.493)
Nd (0.914, 0.750, 0.993)
Nd (0.086, 0.250, 0.007)
Br (0.058, 0.250, 0.508)
Br (0.942, 0.750, 0.492)
Br (0.558, 0.750, 0.992)
Br (0.442, 0.250, 0.008)
Br (0.339, 0.953, 0.590)
Br (0.661, 0.047, 0.410)
Br (0.839, 0.047, 0.910)
Br (0.661, 0.453, 0.410)
Br (0.161, 0.953, 0.090)
Br (0.339, 0.547, 0.590)
Br (0.161, 0.547, 0.090)
Br (0.839, 0.453, 0.910)
Br (0.185, 0.250, 0.787)
Br (0.815, 0.750, 0.213)
Br (0.685, 0.750, 0.713)
Br (0.315, 0.250, 0.287)
Br (0.638, 0.250, 0.682)
Br (0.362, 0.750, 0.318)
Br (0.138, 0.750, 0.818)
Br (0.862, 0.250, 0.182)

## Properties
Formation energy from raw total energies in eV per atom: -1.695
DOS(E_F) in states/eV/f.u.: 0.0
Magnetization in μB/atom: 0.000

---

Entry 3:
First-principles (PBE) data for a relaxed Rb2TbAgBr6 crystal, as listed in the Alexandria database.

Cell lengths 7.870, 8.111, 11.067 Å; angles 90.00, 89.78, 90.00 degrees
Atoms (fractional coordinates):
Rb (0.017, 0.939, 0.251)
Rb (0.517, 0.561, 0.751)
Rb (0.983, 0.061, 0.749)
Rb (0.483, 0.439, 0.249)
Tb (0.500, 0.000, 0.500)
Tb (0.000, 0.500, 0.000)
Ag (0.500, 0.000, 0.000)
Ag (0.000, 0.500, 0.500)
Br (0.288, 0.700, 0.039)
Br (0.788, 0.800, 0.539)
Br (0.712, 0.300, 0.961)
Br (0.212, 0.200, 0.461)
Br (0.302, 0.714, 0.462)
Br (0.802, 0.786, 0.962)
Br (0.698, 0.286, 0.538)
Br (0.198, 0.214, 0.038)
Br (0.923, 0.512, 0.249)
Br (0.423, 0.988, 0.749)
Br (0.077, 0.488, 0.751)
Br (0.577, 0.012, 0.251)

## Properties
Formation energy from raw total energies in eV per atom: -1.541
DOS(E_F) in states/eV/f.u.: 0.0
Magnetization in μB/atom: 0.000

---

Entry 4:
First-principles (PBE) data for a relaxed Rb2AgBiO4 crystal, as listed in the Alexandria database.

Cell lengths 6.092, 6.092, 6.092 Å; angles 100.68, 114.04, 114.04 degrees
Atoms (fractional coordinates):
Rb (0.500, 0.750, 0.250)
Rb (0.000, 0.000, 0.000)
Ag (0.500, 0.250, 0.750)
Bi (0.000, 0.500, 0.500)
O (0.640, 0.440, 0.503)
O (0.063, 0.201, 0.560)
O (0.937, 0.497, 0.138)
O (0.360, 0.862, 0.799)

## Properties
Formation energy from raw total energies in eV per atom: -0.940
DOS(E_F) in states/eV/f.u.: 4.1
Magnetization in μB/atom: 0.000

---

Entry 5:
First-principles (PBE) data for a relaxed CrNi6Rh crystal, as listed in the Alexandria database.

Cell lengths 6.210, 6.210, 10.158 Å; angles 90.00, 90.00, 109.58 degrees
Atoms (fractional coordinates):
Cr (0.251, 0.749, 0.750)
Cr (0.749, 0.251, 0.750)
Cr (0.500, 0.500, 0.501)
Cr (0.500, 0.500, 0.999)
Ni (0.253, 0.747, 0.505)
Ni (0.874, 0.621, 0.628)
Ni (0.126, 0.379, 0.628)
Ni (0.747, 0.253, 0.505)
Ni (0.379, 0.126, 0.628)
Ni (0.621, 0.874, 0.628)
Ni (0.500, 0.500, 0.250)
Ni (0.130, 0.377, 0.378)
Ni (0.377, 0.130, 0.378)
Ni (0.253, 0.747, 0.995)
Ni (0.870, 0.623, 0.122)
Ni (0.130, 0.377, 0.122)
Ni (0.747, 0.253, 0.995)
Ni (0.377, 0.130, 0.122)
Ni (0.623, 0.870, 0.122)
Ni (0.500, 0.500, 0.750)
Ni (0.126, 0.379, 0.872)
Ni (0.379, 0.126, 0.872)
Ni (0.000, 0.000, 0.250)
Ni (0.623, 0.870, 0.378)
Ni (0.870, 0.623, 0.378)
Ni (0.000, 0.000, 0.750)
Ni (0.621, 0.874, 0.872)
Ni (0.874, 0.621, 0.872)
Rh (0.250, 0.750, 0.250)
Rh (0.750, 0.250, 0.250)
Rh (0.000, 0.000, 0.500)
Rh (0.000, 0.000, 0.000)

## Properties
Energy of formation in eV per atom: 0.04
Energy above the lowest structure with this stoichiometry in eV/atom: 0.0285
DOS(E_F) in states/eV/f.u.: 14.7
Magnetization in μB/atom: 0.008

---

Entry 6:
First-principles (PBE) data for a relaxed CrNi2Cl crystal, as listed in the Alexandria database.

Cell lengths 6.729, 6.729, 5.330 Å; angles 50.86, 50.86, 90.00 degrees
Atoms (fractional coordinates):
Ni (0.591, 0.125, 0.250)
Ni (0.159, 0.625, 0.250)
Ni (0.375, 0.409, 0.750)
Ni (0.875, 0.841, 0.750)
Cl (0.500, 0.500, 0.000)
Cl (0.250, 0.750, 0.500)
Cr (0.000, 0.000, 0.000)
Cr (0.750, 0.250, 0.500)

## Properties
Energy above the lowest structure with this stoichiometry in eV/atom: 0.3506
Formation energy from raw total energies in eV per atom: 0.541
DOS(E_F) in states/eV/f.u.: 6.9
Magnetization in μB/atom: 0.686

---

For reference, density by record: 11.016, 4.034, 4.312, 5.356, 9.127, 6.254 Mg/m³.
For reference, volume by record: 135.2, 970.9, 706.4, 171.1, 369.0, 108.8 Å³ per cell.
For reference, total DFT energy (no corrections) by record: -0.304, -0.269, -0.256, -0.331, -0.472, -0.383 Ry/atom.